The following is a PBE calculation of an optimized crystal structure of Sm2Th5Sc12, from the Alexandria database.

It has space group C2/m (No. 12), with a = 12.170 Å, b = 10.963 Å, c = 8.322 Å, α = 90.00°, β = 104.45° and γ = 90.00°. The asymmetric unit holds Sm at (0.000, 0.218, 0.000), Th at (0.000, 0.500, 0.500), Th at (0.217, 0.000, 0.084), Th at (0.233, 0.000, 0.500), Sc at (0.031, 0.000, 0.712), Sc at (0.096, 0.251, 0.395), Sc at (0.096, 0.500, 0.162) and Sc at (0.199, 0.227, 0.789).

The crystal system is monoclinic. For the density of states at the Fermi level, the calculation gives 28.066 states/eV/f.u. For the magnetization, the calculation gives 0.00 μB per formula unit. The total energy comes out at -6.2588 eV per atom.

***

The following is a PBE calculation of an optimized crystal structure of FeCo2Si, from the Alexandria database.

It has space group C2/m (No. 12), with a = 7.935 Å, b = 2.588 Å, c = 4.386 Å, α = 90.00°, β = 101.03° and γ = 90.00°. The asymmetric unit holds Fe at (0.000, 0.000, 0.000), Co at (0.244, 0.000, 0.744) and Si at (0.000, 0.500, 0.500).

The value obtained for the formation energy from raw total energies is -204 meV per atom. The crystal system is monoclinic. For the density of states at the Fermi level, the calculation gives 4.476 states/eV/f.u. For the magnetization, the calculation gives 4.28 μB per formula unit. The total energy comes out at -7.2279 eV per atom.

***

The following is a PBE calculation of an optimized crystal structure of SrSiP2O, from the Alexandria database.

It has space group P4/mmm (No. 123), with a = 5.182 Å, b = 5.182 Å, c = 3.338 Å, α = 90.00°, β = 90.00° and γ = 90.00°. The asymmetric unit holds Sr at (0.000, 0.000, 0.000), Si at (0.500, 0.500, 0.500), P at (0.000, 0.500, 0.500) and O at (0.500, 0.500, 0.000).

The value obtained for the formation energy from raw total energies is -638 meV per atom. The crystal system is tetragonal. For the density of states at the Fermi level, the calculation gives 2.972 states/eV/f.u. For the magnetization, the calculation gives 0.00 μB per formula unit. As for the energy above the most stable polymorph in this dataset: 0.0 meV/atom. The total energy comes out at -5.2149 eV per atom.

***

The following is a PBE calculation of an optimized crystal structure of Sm3Bi2H, from the Alexandria database.

It has space group C2/c (No. 15), with a = 13.195 Å, b = 6.420 Å, c = 8.120 Å, α = 90.00°, β = 99.30° and γ = 90.00°. The asymmetric unit holds Sm at (0.000, 0.138, 0.250), Sm at (0.150, 0.400, 0.670), Bi at (0.164, 0.069, 0.018) and H at (0.000, 0.481, 0.250).

The crystal system is monoclinic. For the density of states at the Fermi level, the calculation gives 3.030 states/eV/f.u. For the magnetization, the calculation gives 0.00 μB per formula unit. The total energy comes out at -4.8036 eV per atom.

***

The following is a PBE calculation of an optimized crystal structure of CsTl6In2, from the Alexandria database.

It has space group Fd-3m (No. 227, origin choice 2), with a = 14.431 Å, b = 14.431 Å, c = 14.431 Å, α = 90.00°, β = 90.00° and γ = 90.00°. The asymmetric unit holds Cs at (0.125, 0.125, 0.125), Tl at (0.117, 0.375, 0.875) and In at (0.000, 0.000, 0.500).

The crystal system is cubic. For the density of states at the Fermi level, the calculation gives 6.839 states/eV/f.u. For the magnetization, the calculation gives 0.00 μB per formula unit. As for the energy above the most stable polymorph in this dataset: 229.9 meV/atom. The total energy comes out at -2.0745 eV per atom.

***

The following is a PBE calculation of an optimized crystal structure of PmErFe4, from the Alexandria database.

It has space group F-43m (No. 216), with a = 7.318 Å, b = 7.318 Å, c = 7.318 Å, α = 90.00°, β = 90.00° and γ = 90.00°. The asymmetric unit holds Pm at (0.000, 0.000, 0.000), Er at (0.250, 0.250, 0.750) and Fe at (0.125, 0.125, 0.375).

The crystal system is cubic. For the density of states at the Fermi level, the calculation gives 7.931 states/eV/f.u. For the magnetization, the calculation gives 7.54 μB per formula unit. The total energy comes out at -7.2290 eV per atom.

***

The following is a PBE calculation of an optimized crystal structure of Y2Ho12Tm, from the Alexandria database.

It has space group C2/m (No. 12), with a = 7.097 Å, b = 11.086 Å, c = 24.162 Å, α = 90.00°, β = 94.16° and γ = 90.00°. The asymmetric unit holds Y at (0.066, 0.000, 0.271), Y at (0.072, 0.500, 0.272), Ho at (0.020, 0.250, 0.074), Ho at (0.112, 0.251, 0.445), Ho at (0.142, 0.000, 0.576), Ho at (0.143, 0.500, 0.574), Ho at (0.166, 0.253, 0.670), Ho at (0.199, 0.243, 0.799), Ho at (0.213, 0.500, 0.859), Ho at (0.215, 0.000, 0.868) and Tm at (0.249, 0.500, 0.996).

The crystal system is monoclinic. For the density of states at the Fermi level, the calculation gives 24.950 states/eV/f.u. For the magnetization, the calculation gives 0.00 μB per formula unit. The total energy comes out at -4.7049 eV per atom.

***

The following is a PBE calculation of an optimized crystal structure of YPb2Se, from the Alexandria database.

It has space group Imm2 (No. 44), with a = 3.679 Å, b = 5.436 Å, c = 11.309 Å, α = 90.00°, β = 90.00° and γ = 90.00°. The asymmetric unit holds Y at (0.000, 0.000, 0.000), Pb at (0.000, 0.000, 0.545), Pb at (0.000, 0.500, 0.777) and Se at (0.000, 0.500, 0.311).

The value obtained for the formation energy from raw total energies is -539 meV per atom. The crystal system is orthorhombic. For the density of states at the Fermi level, the calculation gives 1.846 states/eV/f.u. For the magnetization, the calculation gives 0.00 μB per formula unit. The total energy comes out at -4.8802 eV per atom.

***

The following is a PBE calculation of an optimized crystal structure of Y2As, from the Alexandria database.

It has space group Immm (No. 71), with a = 3.970 Å, b = 6.035 Å, c = 12.990 Å, α = 90.00°, β = 90.00° and γ = 90.00°. The asymmetric unit holds Y at (0.000, 0.000, 0.199), Y at (0.000, 0.239, 0.500) and As at (0.000, 0.500, 0.141).

The crystal system is orthorhombic. For the density of states at the Fermi level, the calculation gives 1.841 states/eV/f.u. For the magnetization, the calculation gives 0.00 μB per formula unit. The total energy comes out at -6.8032 eV per atom.

***

The following is a PBE calculation of an optimized crystal structure of Ac3Cd2Pd7, from the Alexandria database.

It has space group R-3m (No. 166, hexagonal axes), with a = 5.7452 Å, b = 5.7452 Å, c = 27.0887 Å, α = 90.00°, β = 90.00° and γ = 120.00°. The asymmetric unit holds Ac at (0.0000, 0.0000, 0.0000), Ac at (0.0000, 0.0000, 0.1386), Cd at (0.0000, 0.0000, 0.3332), Pd at (0.0000, 0.0000, 0.5000) and Pd at (0.0014, 0.5007, 0.9159).

The crystal system is trigonal. For the density of states at the Fermi level, the calculation gives 5.211 states/eV/f.u. For the magnetization, the calculation gives 0.00 μB per formula unit. As for the energy above the most stable polymorph in this dataset: 0.0 meV/atom. The total energy comes out at -4.8779 eV per atom.

***

The following is a PBE calculation of an optimized crystal structure of Pm6GePb, from the Alexandria database.

It has space group P4/mmm (No. 123), with a = 4.876 Å, b = 4.876 Å, c = 9.741 Å, α = 90.00°, β = 90.00° and γ = 90.00°. The asymmetric unit holds Pm at (0.000, 0.000, 0.000), Pm at (0.000, 0.000, 0.500), Pm at (0.000, 0.500, 0.239), Ge at (0.500, 0.500, 0.000) and Pb at (0.500, 0.500, 0.500).

The crystal system is tetragonal. For the density of states at the Fermi level, the calculation gives 9.069 states/eV/f.u. For the magnetization, the calculation gives 0.00 μB per formula unit. The total energy comes out at -4.9387 eV per atom.

***

The following is a PBE calculation of an optimized crystal structure of MoIr2Ru, from the Alexandria database.

It has space group R3m (No. 160, hexagonal axes), with a = 2.7492 Å, b = 2.7492 Å, c = 26.9663 Å, α = 90.00°, β = 90.00° and γ = 120.00°. The asymmetric unit holds Mo at (0.0000, 0.0000, 0.0000), Ir at (0.0000, 0.0000, 0.5010), Ir at (0.0000, 0.0000, 0.7492) and Ru at (0.0000, 0.0000, 0.2489).

The crystal system is trigonal. For the density of states at the Fermi level, the calculation gives 4.757 states/eV/f.u. For the magnetization, the calculation gives 0.00 μB per formula unit. As for the energy above the most stable polymorph in this dataset: 252.3 meV/atom. The total energy comes out at -9.4533 eV per atom.